AcSmTm2 | Alexandria via LeMat-Bulk | PBE-GGA | relaxed; energy relative to the lowest polymorph listed for this composition = 35.4 meV per atom; mass density = 8.577 g/cm³; energy of formation = 9 kJ per mole of atoms; calculated total energy = -17.41 eV/cell; SG = No. 123
1.0
-3.635 -0.284 2.028
-1.778 -1.609 -3.413
1.935 -7.321 2.443
Tm Sm Ac
2 1 1
direct
0.000 0.000 0.232
0.000 0.000 0.768
0.500 0.500 0.000
0.500 0.500 0.500

CrInPb2 | Alexandria via LeMat-Bulk | PBE-GGA | relaxed; mass density = 9.296 g/cm³; energy of formation = 35 kJ per mole of atoms; calculated total energy = -18.33 eV/cell; SG = No. 47
1.0
4.853 0.000 0.000
0.000 4.815 0.000
0.000 0.000 4.443
Pb Cr In
2 1 1
direct
0.500 0.500 0.000
0.000 0.000 0.000
0.500 0.000 0.500
0.000 0.500 0.500

CoReH | Alexandria via LeMat-Bulk | PBE-GGA | relaxed; mass density = 14.307 g/cm³; calculated total energy = -88.35 eV/cell; SG = No. 62
1.0
4.443 0.000 0.000
0.000 5.192 0.000
0.000 0.000 4.953
Co Re H
4 4 4
direct
0.250 0.192 0.316
0.250 0.308 0.816
0.750 0.808 0.684
0.750 0.692 0.184
0.250 0.662 0.464
0.250 0.838 0.964
0.750 0.338 0.536
0.750 0.162 0.036
0.750 0.523 0.896
0.750 0.977 0.396
0.250 0.023 0.604
0.250 0.477 0.104

IrPd2AuC | Alexandria via LeMat-Bulk | PBE-GGA | relaxed; mass density = 10.803 g/cm³; energy of formation = 178 kJ per mole of atoms; calculated total energy = -22.53 eV/cell; SG = No. 123
1.0
-1.317 -4.876 0.235
1.854 -0.652 -3.125
4.169 -0.996 2.681
Ir C Pd Au
1 1 2 1
direct
0.500 0.500 0.500
0.000 0.500 0.000
0.500 0.000 0.000
0.000 0.000 0.500
0.000 0.000 0.000

La2YRu | Alexandria via LeMat-Bulk | PBE-GGA | relaxed; energy relative to the lowest polymorph listed for this composition = 410.6 meV per atom; mass density = 7.211 g/cm³; energy of formation = 16 kJ per mole of atoms; calculated total energy = -24.92 eV/cell; SG = No. 123
1.0
5.012 0.000 0.000
0.000 5.012 0.000
0.000 0.000 4.288
Y Ru La
1 1 2
direct
0.000 0.500 0.500
0.500 0.000 0.500
0.000 0.000 0.000
0.500 0.500 0.000

La2Zn2Au3 | Alexandria via LeMat-Bulk | PBE-GGA | relaxed; mass density = 10.275 g/cm³; energy of formation = -64 kJ per mole of atoms; calculated total energy = -53.78 eV/cell; SG = No. 63
1.0
4.136 0.000 -0.986
0.000 7.600 0.000
0.251 0.000 10.218
Zn Au La
4 6 4
direct
0.309 0.438 0.619
0.309 0.062 0.619
0.691 0.938 0.381
0.691 0.562 0.381
0.565 0.060 0.131
0.435 0.940 0.869
0.775 0.250 0.549
0.565 0.440 0.131
0.435 0.560 0.869
0.225 0.750 0.451
0.158 0.250 0.317
0.842 0.750 0.683
0.058 0.750 0.116
0.942 0.250 0.884

CsIn2Cl | Alexandria via LeMat-Bulk | PBE-GGA | relaxed; energy relative to the lowest polymorph listed for this composition = 0.0 meV per atom; mass density = 3.911 g/cm³; calculated total energy = -21.25 eV/cell; SG = No. 122; formation energy from raw total energies = -2.4 eV/f.u.
1.0
-3.439 -1.077 -2.829
-1.975 -2.448 3.331
-10.772 11.313 5.078
In Cs Cl
4 2 2
direct
0.619 0.125 0.250
0.375 0.381 0.750
0.131 0.625 0.250
0.875 0.869 0.750
0.750 0.250 0.500
0.000 0.000 0.000
0.250 0.750 0.500
0.500 0.500 0.000

YPu2Th3S6 | Alexandria via LeMat-Bulk | PBE-GGA | relaxed; mass density = 9.037 g/cm³; calculated total energy = -104.40 eV/cell; SG = No. 12; formation energy from raw total energies = -22.2 eV/f.u.
1.0
6.844 0.002 0.002
-3.419 5.929 0.002
-1.141 -1.975 6.633
Th Pu S Y
3 2 6 1
direct
0.834 0.166 0.500
0.500 0.500 0.500
0.166 0.834 0.500
0.333 0.667 0.000
0.667 0.333 0.000
0.588 0.921 0.762
0.253 0.253 0.762
0.921 0.588 0.762
0.747 0.747 0.238
0.079 0.412 0.238
0.412 0.079 0.238
0.000 0.000 0.000

Ba2HgAu | Alexandria via LeMat-Bulk | PBE-GGA | relaxed; mass density = 7.541 g/cm³; energy of formation = -57 kJ per mole of atoms; calculated total energy = -9.80 eV/cell; SG = No. 38
1.0
6.629 -0.015 0.001
5.073 4.267 0.001
-0.001 0.000 5.219
Ba Hg Au
2 1 1
direct
0.739 0.739 0.625
0.011 0.011 0.125
0.452 0.452 0.625
0.298 0.298 0.125

Na2CaP2 | Alexandria via LeMat-Bulk | PBE-GGA | relaxed; mass density = 2.221 g/cm³; energy of formation = -48 kJ per mole of atoms; calculated total energy = -17.93 eV/cell; SG = No. 139
1.0
-0.542 -3.515 2.354
4.154 -0.891 -0.375
2.948 0.998 6.034
P Ca Na
2 1 2
direct
0.407 0.407 0.186
0.593 0.593 0.814
0.000 0.000 0.000
0.750 0.250 0.500
0.250 0.750 0.500

NaTb2AgTe4 | Alexandria via LeMat-Bulk | PBE-GGA | relaxed; mass density = 6.459 g/cm³; calculated total energy = -34.56 eV/cell; SG = No. 10; formation energy from raw total energies = -8.6 eV/f.u.
1.0
-1.683 -2.970 -2.813
5.776 1.313 -4.841
1.898 -5.705 4.888
Tb Te Ag Na
2 4 1 1
direct
0.500 0.000 0.500
0.000 0.500 0.500
0.500 0.756 0.748
0.500 0.244 0.252
0.000 0.246 0.741
0.000 0.754 0.259
0.000 0.000 0.000
0.500 0.500 0.000

PmSmEr2P4 | Alexandria via LeMat-Bulk | PBE-GGA | relaxed; mass density = 6.687 g/cm³; energy of formation = -153 kJ per mole of atoms; calculated total energy = -52.91 eV/cell; SG = No. 10
1.0
4.047 0.000 0.000
0.000 7.000 -0.136
0.000 2.464 6.559
P Er Pm Sm
4 2 1 1
direct
0.500 0.760 0.246
0.500 0.240 0.754
0.000 0.759 0.748
0.000 0.241 0.252
0.000 0.000 0.000
0.500 0.000 0.500
0.000 0.500 0.500
0.500 0.500 0.000

What magnetization values result from the calculations? In sequence: 0.00, 4.29, 0.01, 1.36, 0.00, 0.00, 0.00, 11.00, 0.00, 0.00, 0.00, 0.00 μB per cell.